Record 1
Below is a geometry-optimized InH2W structure, with properties calculated at the PBE level.

abc: 3.999 3.999 3.999
angles: 60.00 60.00 60.00
Sites, in units of the cell vectors:
In: 0.000 0.000 0.000
H: 0.250 0.250 0.250
H: 0.750 0.750 0.750
W: 0.500 0.500 0.500

Computed properties:
energy above the lowest structure with this stoichiometry: 844 meV per atom
magnetization: 0.99 μB per cell

---

Record 2
Below is a geometry-optimized SeS structure, with properties calculated at the PBE level.

abc: 4.135 4.135 9.890
angles: 90.00 90.00 120.00
Sites, in units of the cell vectors:
Se: 0.333 0.667 0.000
Se: 0.667 0.333 0.500
S: 0.333 0.667 0.561
S: 0.667 0.333 0.061

Computed properties:
energy above the lowest structure with this stoichiometry: 417 meV per atom
magnetization: 0.00 μB per cell

---

Record 3
Below is a geometry-optimized Y8SiTe4S3 structure, with properties calculated at the PBE level.

abc: 8.489 8.489 8.489
angles: 57.93 57.93 57.93
Sites, in units of the cell vectors:
Y: 0.235 0.235 0.235
Y: 0.237 0.736 0.736
Y: 0.264 0.264 0.763
Y: 0.264 0.763 0.264
Y: 0.736 0.237 0.736
Y: 0.736 0.736 0.237
Y: 0.763 0.264 0.264
Y: 0.765 0.765 0.765
Si: 0.500 0.500 0.500
Te: 0.000 0.000 0.000
Te: 0.000 0.500 0.500
Te: 0.500 0.000 0.500
Te: 0.500 0.500 0.000
S: 0.000 0.000 0.500
S: 0.000 0.500 0.000
S: 0.500 0.000 0.000

Computed properties:
magnetization: 0.00 μB per cell
E: -6.69 eV/atom

---

Record 4
Below is a geometry-optimized TeAsO2 structure, with properties calculated at the PBE level.

abc: 7.499 7.499 7.499
angles: 23.66 23.66 23.66
Sites, in units of the cell vectors:
Te: 0.000 0.000 0.000
As: 0.500 0.500 0.500
O: 0.410 0.410 0.410
O: 0.590 0.590 0.590

Computed properties:
energy above the lowest structure with this stoichiometry: 265 meV per atom
magnetization: 0.00 μB per cell

---

Record 5
Below is a geometry-optimized KVSb2Te structure, with properties calculated at the PBE level.

abc: 5.727 5.727 5.850
angles: 90.00 90.00 90.00
Sites, in units of the cell vectors:
K: 0.000 0.000 0.000
V: 0.500 0.500 0.500
Sb: 0.000 0.500 0.000
Sb: 0.500 0.000 0.000
Te: 0.000 0.000 0.500

Computed properties:
energy above the lowest structure with this stoichiometry: 1581 meV per atom
magnetization: 2.85 μB per cell

---

Record 6
Below is a geometry-optimized CaPrTlBr6 structure, with properties calculated at the PBE level.

abc: 7.602 7.602 14.348
angles: 90.00 90.00 120.00
Sites, in units of the cell vectors:
Ca: 0.333 0.667 0.250
Ca: 0.667 0.333 0.750
Pr: 0.333 0.667 0.750
Pr: 0.667 0.333 0.250
Tl: 0.000 0.000 0.000
Tl: 0.000 0.000 0.500
Br: 0.001 0.369 0.135
Br: 0.001 0.633 0.365
Br: 0.367 0.369 0.365
Br: 0.367 0.999 0.135
Br: 0.369 0.001 0.635
Br: 0.369 0.367 0.865
Br: 0.631 0.633 0.135
Br: 0.631 0.999 0.365
Br: 0.633 0.001 0.865
Br: 0.633 0.631 0.635
Br: 0.999 0.367 0.635
Br: 0.999 0.631 0.865

Computed properties:
magnetization: 0.00 μB per cell
E: -3.85 eV/atom

---

Record 7
Below is a geometry-optimized Ho3Tm5N8 structure, with properties calculated at the PBE level.

abc: 6.842 6.842 6.842
angles: 60.00 60.00 60.00
Sites, in units of the cell vectors:
Ho: 0.000 0.500 0.500
Ho: 0.500 0.000 0.500
Ho: 0.500 0.500 0.000
Tm: 0.000 0.000 0.000
Tm: 0.000 0.000 0.500
Tm: 0.000 0.500 0.000
Tm: 0.500 0.000 0.000
Tm: 0.500 0.500 0.500
N: 0.248 0.750 0.750
N: 0.249 0.249 0.249
N: 0.250 0.250 0.752
N: 0.250 0.752 0.250
N: 0.750 0.248 0.750
N: 0.750 0.750 0.248
N: 0.751 0.751 0.751
N: 0.752 0.250 0.250

Computed properties:
magnetization: 0.00 μB per cell
E: -8.21 eV/atom

---

Record 8
Below is a geometry-optimized SrIr2W structure, with properties calculated at the PBE level.

abc: 4.644 4.644 4.644
angles: 60.00 60.00 60.00
Sites, in units of the cell vectors:
Sr: 0.000 0.000 0.000
Ir: 0.500 0.500 0.500
Ir: 0.750 0.750 0.750
W: 0.250 0.250 0.250

Computed properties:
energy above the lowest structure with this stoichiometry: 835 meV per atom
magnetization: 0.00 μB per cell
energy of formation from the pure elements: 83 kJ per mole of atoms

---

Record 9
Below is a geometry-optimized GdHoScCd structure, with properties calculated at the PBE level.

abc: 5.346 5.346 5.346
angles: 60.00 60.00 60.00
Sites, in units of the cell vectors:
Gd: 0.000 0.000 0.000
Ho: 0.500 0.500 0.500
Sc: 0.750 0.750 0.750
Cd: 0.250 0.250 0.250

Computed properties:
magnetization: 7.67 μB per cell
energy of formation from the pure elements: -5 kJ per mole of atoms

---

Record 10
Below is a geometry-optimized Rb4PaI10 structure, with properties calculated at the PBE level.

abc: 10.534 10.534 10.534
angles: 98.08 98.08 135.95
Sites, in units of the cell vectors:
Rb: 0.106 0.303 0.409
Rb: 0.303 0.894 0.196
Rb: 0.697 0.106 0.804
Rb: 0.894 0.697 0.591
Pa: 0.500 0.500 0.000
I: 0.102 0.185 0.746
I: 0.185 0.439 0.084
I: 0.250 0.750 0.500
I: 0.355 0.102 0.916
I: 0.439 0.355 0.254
I: 0.561 0.645 0.746
I: 0.645 0.898 0.084
I: 0.750 0.250 0.500
I: 0.815 0.561 0.916
I: 0.898 0.815 0.254

Computed properties:
magnetization: 0.00 μB per cell
E: -2.97 eV/atom

---

Record 11
Below is a geometry-optimized Rb2InHg4Bi2 structure, with properties calculated at the PBE level.

abc: 7.534 7.534 7.534
angles: 118.19 118.19 93.16
Sites, in units of the cell vectors:
Rb: 0.250 0.750 0.500
Rb: 0.750 0.250 0.500
In: 0.000 0.000 0.000
Hg: 0.272 0.272 0.544
Hg: 0.272 0.728 0.000
Hg: 0.728 0.272 0.000
Hg: 0.728 0.728 0.456
Bi: 0.307 0.307 0.000
Bi: 0.693 0.693 0.000

Computed properties:
magnetization: 0.00 μB per cell
energy of formation from the pure elements: -16 kJ per mole of atoms

---

Record 12
Below is a geometry-optimized AlMoAs2 structure, with properties calculated at the PBE level.

abc: 3.264 3.264 6.173
angles: 90.00 90.00 90.00
Sites, in units of the cell vectors:
Al: 0.000 0.000 0.000
Mo: 0.000 0.000 0.500
As: 0.500 0.500 0.270
As: 0.500 0.500 0.730

Computed properties:
magnetization: 0.00 μB per cell
energy of formation from the pure elements: -1 kJ per mole of atoms